(1)
SrSm2Y | PBE-GGA | relaxed

extended XYZ file:
```
4
Lattice="1.858 1.073 12.309 -1.858 1.073 12.309 0.000 -2.146 12.309" Properties=species:S:1:pos:R:3 pbc="T T T"
Sr 0.000 0.000 0.000
Sm 0.000 0.000 21.300
Sm 0.000 0.000 27.918
Y 0.000 0.000 6.134
```

Output
**Total magnetic moment**: 0.000 μB per formula unit
**Density**: 5.4 g/cm3

---

(2)
SrSm2Y | PBE-GGA | relaxed

extended XYZ file:
```
4
Lattice="1.826 1.054 12.992 -1.826 1.054 12.992 0.000 -2.109 12.992" Properties=species:S:1:pos:R:3 pbc="T T T"
Sr 0.000 0.000 0.000
Sm 0.000 0.000 3.628
Sm 0.000 0.000 35.347
Y 0.000 0.000 19.487
```

Output
**Total magnetic moment**: 0.000 μB per formula unit
**Density**: 5.3 g/cm3

---

Result of the stability comparison: (1) is the most stable of them.

---

(1)
SrSm2Y | PBE-GGA | relaxed

extended XYZ file:
```
4
Lattice="5.256 0.000 0.000 0.000 5.256 0.000 0.000 0.000 5.278" Properties=species:S:1:pos:R:3 pbc="T T T"
Sr 0.000 0.000 0.000
Sm 0.000 2.628 2.639
Sm 2.628 0.000 2.639
Y 2.628 2.628 0.000
```

Output
**Total magnetic moment**: 0.000 μB per formula unit
**Density**: 5.4 g/cm3

---

(2)
SrSm2Y | PBE-GGA | relaxed

extended XYZ file:
```
4
Lattice="4.101 0.000 0.000 0.000 4.101 0.000 0.000 0.000 9.137" Properties=species:S:1:pos:R:3 pbc="T T T"
Sr 0.000 0.000 0.000
Sm 2.050 2.050 2.679
Sm 2.050 2.050 6.458
Y 0.000 0.000 4.569
```

Output
**Total magnetic moment**: 0.000 μB per formula unit
**Density**: 5.2 g/cm3

---

Result of the stability comparison: (2) is the most stable of them.

---

(1)
SrSm2Zn | PBE-GGA | relaxed

extended XYZ file:
```
4
Lattice="3.749 0.000 0.000 0.000 3.749 0.000 0.000 0.000 9.444" Properties=species:S:1:pos:R:3 pbc="T T T"
Sr 0.000 0.000 0.000
Sm 1.874 1.874 3.035
Sm 1.874 1.874 6.409
Zn 0.000 0.000 4.722
```

Output
**Total magnetic moment**: 0.001 μB per formula unit
**Density**: 5.7 g/cm3

---

(2)
SrSm2Zn | PBE-GGA | relaxed

extended XYZ file:
```
4
Lattice="1.871 1.080 11.573 -1.871 1.080 11.573 0.000 -2.161 11.573" Properties=species:S:1:pos:R:3 pbc="T T T"
Sr 0.000 0.000 0.000
Sm 0.000 0.000 3.668
Sm 0.000 0.000 31.051
Zn 0.000 0.000 17.359
```

Output
**Total magnetic moment**: 0.003 μB per formula unit
**Density**: 5.4 g/cm3

---

Result of the stability comparison: (1) is the most stable of them.

---

(1)
Tb7Sm2 | PBE-GGA | relaxed

extended XYZ file:
```
9
Lattice="6.191 0.000 0.000 -3.096 5.362 0.000 0.000 0.000 8.746" Properties=species:S:1:pos:R:3 pbc="T T T"
Tb 0.000 0.000 0.000
Tb -1.030 1.785 5.819
Tb -2.065 3.577 2.926
Tb 2.061 0.000 5.819
Tb 1.030 1.785 2.926
Tb 4.130 0.000 2.926
Tb 2.065 3.577 5.819
Sm 0.000 3.575 0.000
Sm 3.096 1.787 0.000
```

Output
**Total magnetic moment**: 0.000 μB per formula unit
**Density**: 8.1 g/cm3

---

(2)
Tb7Sm2 | PBE-GGA | relaxed

extended XYZ file:
```
9
Lattice="9.742 0.000 0.000 -4.871 8.437 0.000 0.000 0.000 3.549" Properties=species:S:1:pos:R:3 pbc="T T T"
Tb 0.000 0.000 0.000
Tb -1.486 2.573 1.774
Tb -3.138 5.436 0.000
Tb 2.971 0.000 1.774
Tb 1.733 3.001 0.000
Tb 6.276 0.000 0.000
Tb 3.385 5.864 1.774
Sm 0.000 5.625 1.774
Sm 4.871 2.812 1.774
```

Output
**Total magnetic moment**: 0.001 μB per formula unit
**Density**: 8.0 g/cm3

---

Result of the stability comparison: (1) is the most stable of them.

---

(1)
Tb6Sm | PBE-GGA | relaxed

extended XYZ file:
```
7
Lattice="-4.019 4.019 4.019 4.019 -4.019 4.019 4.019 4.019 -4.019" Properties=species:S:1:pos:R:3 pbc="T T T"
Tb 4.019 2.009 0.000
Tb 4.019 0.000 2.009
Tb 2.009 4.019 0.000
Tb 2.009 0.000 4.019
Tb 0.000 4.019 2.009
Tb 0.000 2.009 4.019
Sm 0.000 0.000 0.000
```

Output
**Total magnetic moment**: 0.000 μB per formula unit
**Density**: 7.1 g/cm3

---

(2)
Tb6Sm | PBE-GGA | relaxed

extended XYZ file:
```
14
Lattice="6.523 0.000 0.000 0.000 6.523 0.000 0.000 0.000 11.038" Properties=species:S:1:pos:R:3 pbc="T T T"
Tb 0.536 3.797 1.519
Tb 0.536 5.987 9.518
Tb 1.631 1.631 3.975
Tb 1.631 1.631 7.063
Tb 2.726 3.797 9.518
Tb 2.726 5.987 1.519
Tb 3.797 0.536 9.518
Tb 3.797 2.726 1.519
Tb 4.892 4.892 3.975
Tb 4.892 4.892 7.063
Tb 5.987 0.536 1.519
Tb 5.987 2.726 9.518
Sm 1.631 4.892 5.519
Sm 4.892 1.631 5.519
```

Output
**Total magnetic moment**: 0.000 μB per formula unit
**Density**: 7.8 g/cm3

---

Result of the stability comparison: (2) is the most stable of them.

---

(1)
TbSm2 | PBE-GGA | relaxed

extended XYZ file:
```
6
Lattice="0.000 4.694 4.694 4.694 0.000 4.694 4.694 4.694 0.000" Properties=species:S:1:pos:R:3 pbc="T T T"
Tb 1.174 1.174 1.174
Tb 8.215 8.215 8.215
Sm 4.694 2.347 2.347
Sm 2.347 4.694 2.347
Sm 2.347 2.347 4.694
Sm 4.694 4.694 4.694
```

Output
**Total magnetic moment**: 0.000 μB per formula unit
**Density**: 7.4 g/cm3

---

(2)
TbSm2 | PBE-GGA | relaxed

extended XYZ file:
```
3
Lattice="-1.802 1.802 7.654 1.802 -1.802 7.654 1.802 1.802 -7.654" Properties=species:S:1:pos:R:3 pbc="T T T"
Tb 0.000 0.000 0.000
Sm 0.000 0.000 5.116
Sm 0.000 0.000 10.192
```

Output
**Total magnetic moment**: 0.000 μB per formula unit
**Density**: 7.7 g/cm3

---

Result of the stability comparison: (2) is the most stable of them.